Run one
PBE-GGA NdY3Tc, optimized geometry; symmetry = Cm, No. 8
1.0
-3.3948 -2.0389 0.1727
-0.9885 -1.6905 6.1016
-7.5777 9.0266 3.0983
Nd Y Tc
2 6 2
Direct
0.1115 0.4861 0.2908
0.2257 0.5440 0.0046
0.4513 0.9495 0.1479
0.7594 0.7232 0.7580
0.1011 0.1760 0.6218
0.9831 0.1324 0.9014
0.7884 0.0381 0.3850
0.4263 0.6206 0.5269
0.7880 0.2763 0.1477
0.4259 0.3907 0.7575



Run two
PBE-GGA NdY3Tc, optimized geometry; symmetry = Pm-3m, No. 221
1.0
5.4315 0.0000 0.0000
0.0000 5.4315 0.0000
0.0000 0.0000 5.4315
Y Nd Tc
3 1 1
Direct
0.0000 0.5000 0.0000
0.0000 0.0000 0.5000
0.5000 0.0000 0.0000
0.5000 0.5000 0.5000
0.0000 0.0000 0.0000



run one ends up most stable, edging out the next structure by 14.8 kJ/mol of atoms.



Run one
PBE-GGA Nd2YTc, optimized geometry; symmetry = R-3m, No. 166
1.0
-3.1232 -0.5550 -1.4946
-0.2725 -2.1763 -2.7360
-2.9285 -9.3414 5.4749
Y Nd Tc
1 2 1
Direct
0.0000 0.0000 0.0000
0.1038 0.1038 0.6886
0.8962 0.8962 0.3114
0.5000 0.5000 0.5000



Run two
PBE-GGA Nd2YTc, optimized geometry; symmetry = Pnma, No. 62
1.0
-3.4519 -5.3013 1.1312
4.8927 -4.0405 -4.0060
5.1029 -1.6399 7.8865
Nd Y Tc
8 4 4
Direct
0.1647 0.6773 0.0644
0.3353 0.1773 0.4356
0.8353 0.3227 0.5644
0.6647 0.8227 0.9356
0.8353 0.3227 0.9356
0.6647 0.8227 0.5644
0.1647 0.6773 0.4356
0.3353 0.1773 0.0644
0.6365 0.5463 0.2500
0.8635 0.0463 0.2500
0.3635 0.4537 0.7500
0.1365 0.9537 0.7500
0.0397 0.3907 0.2500
0.4603 0.8907 0.2500
0.9603 0.6093 0.7500
0.5397 0.1093 0.7500



run two ends up most stable, edging out the next structure by 37.3 kJ/mol of atoms.



Run one
PBE-GGA Nd3Te, optimized geometry; symmetry = Pmm2, No. 25
1.0
-1.5642 3.4986 -0.9087
0.2422 -0.8756 -3.7878
-8.7296 -3.8185 0.3244
Te Nd
1 3
Direct
0.0000 0.0000 0.9909
0.0000 0.5000 0.4697
0.5000 0.5000 0.1483
0.5000 0.0000 0.7245



Run two
PBE-GGA Nd3Te, optimized geometry; symmetry = I4/mmm, No. 139
1.0
4.8121 0.0000 0.0000
0.0000 4.8121 0.0000
-2.4060 -2.4060 5.3319
Te Nd
1 3
Direct
0.0000 0.0000 0.0000
0.7500 0.2500 0.5000
0.2500 0.7500 0.5000
0.5000 0.5000 0.0000



Run three
PBE-GGA Nd3Te, optimized geometry; symmetry = Imm2, No. 44
1.0
3.9406 0.0000 0.0000
0.0000 6.1501 0.0000
-1.9703 -3.0750 5.2881
Te Nd
1 3
Direct
0.0000 0.0427 0.0000
0.2806 0.6157 0.5612
0.5000 0.4538 0.0000
0.7194 0.0545 0.4388



run three ends up most stable, edging out the next structure by 10.7 kJ/mol of atoms.



Run one
PBE-GGA Nd3Te, optimized geometry; symmetry = Pm-3m, No. 221
1.0
-2.3732 3.0083 3.0901
-4.1344 -2.5906 -0.6532
1.2271 -2.9103 3.7756
Te Nd
1 3
Direct
0.0000 0.0000 0.0000
0.0000 0.5000 0.5000
0.5000 0.0000 0.5000
0.5000 0.5000 0.0000



Run two
PBE-GGA Nd3Te, optimized geometry; symmetry = P4_2/n, No. 86
1.0
-4.0024 -3.0776 3.6945
9.8415 -4.5149 6.9006
-0.7284 10.2264 7.7297
Nd Te
24 8
Direct
0.0075 0.2843 0.8232
0.0075 0.7157 0.1768
0.5075 0.6768 0.7843
0.5075 0.3232 0.2157
0.4925 0.2157 0.6768
0.4925 0.7843 0.3232
0.9925 0.8232 0.7157
0.9925 0.1768 0.2843
0.5346 0.3913 0.9172
0.5346 0.6087 0.0828
0.0346 0.5828 0.8913
0.0346 0.4172 0.1087
0.9654 0.1087 0.5828
0.9654 0.8913 0.4172
0.4654 0.9172 0.6087
0.4654 0.0828 0.3913
0.7157 0.0269 0.8602
0.7157 0.9731 0.1398
0.2157 0.6398 0.5269
0.2157 0.3602 0.4731
0.7843 0.4731 0.6398
0.7843 0.5269 0.3602
0.2843 0.8602 0.9731
0.2843 0.1398 0.0269
0.7880 0.7972 0.9579
0.7880 0.2028 0.0421
0.2880 0.5421 0.2972
0.2880 0.4579 0.7028
0.7120 0.7028 0.5421
0.7120 0.2972 0.4579
0.2120 0.9579 0.2028
0.2120 0.0421 0.7972



Run three
PBE-GGA Nd3Te, optimized geometry; symmetry = I-4, No. 82
1.0
6.2030 0.0000 0.0000
3.1015 9.1319 0.0000
3.1015 0.0000 9.1319
Nd Te
12 4
Direct
0.3671 0.9705 0.8134
0.1510 0.0295 0.1866
0.8195 0.8134 0.0295
0.6624 0.1866 0.9705
0.5529 0.3349 0.6105
0.4983 0.6651 0.3895
0.8366 0.6105 0.6651
0.1122 0.3895 0.3349
0.9766 0.9630 0.5919
0.5314 0.0370 0.4081
0.4315 0.5919 0.0370
0.0604 0.4081 0.9630
0.0710 0.2565 0.6632
0.9907 0.7435 0.3368
0.2659 0.6632 0.7435
0.6725 0.3368 0.2565



run two ends up most stable, edging out the next structure by 1.6 kJ/mol of atoms.



Run one
PBE-GGA Nd3Te4, optimized geometry; symmetry = I-43d, No. 220
1.0
8.2648 0.0000 0.0000
-2.7549 7.7921 0.0000
-2.7549 -3.8961 6.7482
Nd Te
6 8
Direct
0.8750 0.2500 0.1250
0.1250 0.8750 0.2500
0.3750 0.6250 0.7500
0.2500 0.1250 0.8750
0.7500 0.3750 0.6250
0.6250 0.7500 0.3750
0.5000 0.0000 0.6500
0.1500 0.5000 0.0000
0.3500 0.3500 0.3500
0.0000 0.1500 0.5000
0.8500 0.8500 0.8500
0.0000 0.6500 0.5000
0.5000 0.0000 0.1500
0.6500 0.5000 0.0000



Run two
PBE-GGA Nd3Te4, optimized geometry; symmetry = R-3m, No. 166
1.0
4.5064 0.0000 0.0000
2.2532 3.9027 0.0000
2.2532 1.3009 14.8488
Nd Te
3 4
Direct
0.7544 0.7544 0.7369
0.2456 0.2456 0.2631
0.0000 0.0000 0.0000
0.3755 0.3755 0.8736
0.1246 0.1246 0.6261
0.8754 0.8754 0.3739
0.6245 0.6245 0.1264



run one ends up most stable, edging out the next structure by 4.5 kJ/mol of atoms.



Run one
PBE-GGA NdThTe2, optimized geometry; symmetry = I4_1/amd, No. 141
1.0
6.3423 0.0000 0.0000
0.0000 6.3423 0.0000
-3.1712 -3.1712 6.3294
Nd Th Te
2 2 4
Direct
0.5000 0.5000 0.0000
0.2500 0.7500 0.5000
0.7500 0.2500 0.5000
0.0000 0.0000 0.0000
0.7496 0.7496 0.4993
0.4996 0.9996 0.9993
0.2504 0.2504 0.5007
0.0004 0.5004 0.0007



Run two
PBE-GGA NdThTe2, optimized geometry; symmetry = R3m, No. 160
1.0
4.2346 0.0000 0.0000
2.1173 3.6673 0.0000
2.1173 1.2224 8.2119
Nd Th Te
1 1 2
Direct
0.6679 0.6679 0.9962
0.4986 0.4986 0.5041
0.0830 0.0830 0.7511
0.2505 0.2505 0.2486



Run three
PBE-GGA NdThTe2, optimized geometry; symmetry = R-3m, No. 166
1.0
4.4228 0.0000 0.0000
2.2114 3.8303 0.0000
2.2114 1.2768 7.5080
Te Nd Th
2 1 1
Direct
0.2494 0.2494 0.2517
0.7506 0.7506 0.7483
0.5000 0.5000 0.5000
0.0000 0.0000 0.0000



run two ends up most stable, edging out the next structure by 0.7 kJ/mol of atoms.



Run one
PBE-GGA NdThTe2, optimized geometry; symmetry = P4/mmm, No. 123
1.0
-1.4331 -3.7082 2.0664
2.0735 1.2917 3.7559
-5.2413 3.0530 1.8436
Nd Th Te
1 1 2
Direct
0.5000 0.5000 0.5000
0.0000 0.0000 0.0000
0.0000 0.0000 0.5000
0.5000 0.5000 0.0000



Run two
PBE-GGA NdThTe2, optimized geometry; symmetry = P4/mmm, No. 123
1.0
-1.9243 1.9747 2.7062
-3.0114 -2.3872 -0.3994
2.9273 -4.6030 5.4404
Te Nd Th
2 1 1
Direct
0.0000 0.0000 0.7550
0.0000 0.0000 0.2450
0.5000 0.5000 0.5000
0.5000 0.5000 0.0000



run two ends up most stable, edging out the next structure by 1.8 kJ/mol of atoms.



Run one
PBE-GGA NdTh2Te4, optimized geometry; symmetry = Cmcm, No. 63
1.0
-0.6818 -0.7616 -4.1238
5.3319 -4.6521 2.1662
-11.0302 -10.8589 3.8293
Nd Th Te
2 4 8
Direct
0.6054 0.2108 0.7500
0.3946 0.7892 0.2500
0.1488 0.2976 0.4382
0.8512 0.7024 0.9382
0.1488 0.2976 0.0618
0.8512 0.7024 0.5618
0.7945 0.5890 0.1312
0.7945 0.5890 0.3688
0.2055 0.4110 0.8688
0.2055 0.4110 0.6312
0.9371 0.8741 0.7500
0.0629 0.1259 0.2500
0.5000 0.0000 0.0000
0.5000 0.0000 0.5000



Run two
PBE-GGA NdTh2Te4, optimized geometry; symmetry = I4/mmm, No. 139
1.0
-2.7608 -4.3849 4.1192
4.2676 -3.1223 -3.9820
3.1857 4.6098 3.5238
Nd Th Te
1 2 4
Direct
0.0000 0.0000 0.0000
0.5000 0.5000 0.0000
0.5000 0.0000 0.5000
0.5000 0.0000 0.0000
0.5000 0.5000 0.5000
0.0000 0.0000 0.5000
0.0000 0.5000 0.0000



run one ends up most stable, edging out the next structure by 2.4 kJ/mol of atoms.



Run one
PBE-GGA NdThTe4, optimized geometry; symmetry = P2_1/c, No. 14
1.0
-1.4096 -0.8006 7.6122
-7.4418 -1.3898 -1.5242
1.5403 -7.4211 -0.7536
Nd Th Te
2 2 8
Direct
0.5000 0.0000 0.5000
0.0000 0.5000 0.5000
0.0000 0.0000 0.0000
0.5000 0.5000 0.0000
0.8480 0.6498 0.1387
0.6520 0.1498 0.8613
0.3736 0.3720 0.3707
0.1264 0.8720 0.6293
0.1520 0.3502 0.8613
0.3480 0.8502 0.1387
0.6264 0.6280 0.6293
0.8736 0.1280 0.3707



Run two
PBE-GGA NdThTe4, optimized geometry; symmetry = C2/c, No. 15
1.0
0.4427 4.3596 -6.3767
3.8388 -6.6824 -2.6832
-7.9250 -1.3192 2.4325
Nd Th Te
2 2 8
Direct
0.2419 0.9919 0.9839
0.7581 0.0081 0.0161
0.3811 0.6311 0.2622
0.6189 0.3689 0.7378
0.9952 0.2407 0.8709
0.7839 0.6771 0.6352
0.3757 0.6301 0.8709
0.3513 0.9582 0.6352
0.6487 0.0418 0.3648
0.6243 0.3699 0.1291
0.2161 0.3229 0.3648
0.0048 0.7593 0.1291



run two ends up most stable, edging out the next structure by 20.1 kJ/mol of atoms.



Run one
PBE-GGA NdThTe3, optimized geometry; symmetry = P-6c2, No. 188
1.0
7.6623 0.0000 0.0000
0.0000 7.7495 0.0000
0.0000 -3.8748 6.7113
Nd Th Te
2 2 6
Direct
0.0000 0.0000 0.0000
0.5000 0.0000 0.0000
0.5000 0.6667 0.3333
0.0000 0.6667 0.3333
0.7500 0.3356 0.3229
0.7500 0.9873 0.6644
0.7500 0.6770 0.0127
0.2500 0.6770 0.6644
0.2500 0.3356 0.0127
0.2500 0.9873 0.3229



Run two
PBE-GGA NdThTe3, optimized geometry; symmetry = Pnma, No. 62
1.0
4.3556 0.0000 0.0000
0.0000 8.5877 0.0000
0.0000 0.0000 17.5823
Nd Th Te
4 4 12
Direct
0.7500 0.9202 0.7942
0.2500 0.0798 0.2058
0.7500 0.4202 0.7058
0.2500 0.5798 0.2942
0.2500 0.2609 0.9588
0.2500 0.7609 0.5412
0.7500 0.2391 0.4588
0.7500 0.7391 0.0412
0.2500 0.3882 0.5715
0.7500 0.8077 0.2204
0.7500 0.5012 0.8971
0.7500 0.0012 0.6029
0.7500 0.6118 0.4285
0.2500 0.9988 0.3971
0.2500 0.8882 0.9285
0.7500 0.3077 0.2796
0.2500 0.6923 0.7204
0.2500 0.1923 0.7796
0.7500 0.1118 0.0715
0.2500 0.4988 0.1029



run two ends up most stable, edging out the next structure by 4.6 kJ/mol of atoms.